# 1
DFT (GGA-PBE) results for a geometry-optimized LaTaBe2 structure.

a b c (Å): 2.872 2.872 8.068
angles (deg): 90.00 90.00 90.00
Fractional positions:
Be: 0.000 0.000 0.042
Be: 0.500 0.500 0.165
La: 0.000 0.000 0.465
Ta: 0.500 0.500 0.827

Output
Its distance to the lowest polymorph of the same formula is 0.58 eV per formula unit. The formation energy comes out at 1.344 eV per formula unit. For the magnetization, the calculation gives 0.00 μB per cell.



# 2
DFT (GGA-PBE) results for a geometry-optimized LiAsPt2 structure.

a b c (Å): 7.138 7.138 5.729
angles (deg): 51.46 51.46 90.00
Fractional positions:
As: 0.000 0.000 0.000
As: 0.750 0.250 0.500
Pt: 0.665 0.125 0.250
Pt: 0.085 0.625 0.250
Pt: 0.375 0.335 0.750
Pt: 0.875 0.915 0.750
Li: 0.500 0.500 0.000
Li: 0.250 0.750 0.500

Output
The formation energy comes out at -0.889 eV per formula unit. For the magnetization, the calculation gives 0.00 μB per cell.



# 3
DFT (GGA-PBE) results for a geometry-optimized In2GeSbN structure.

a b c (Å): 5.233 5.390 5.233
angles (deg): 90.00 90.00 90.00
Fractional positions:
Sb: 0.000 0.500 0.000
Ge: 0.000 0.000 0.000
N: 0.500 0.500 0.500
In: 0.000 0.000 0.500
In: 0.500 0.000 0.000

Output
For the magnetization, the calculation gives 0.00 μB per cell. The value obtained for the calculated total energy is -14.96 eV/cell.



# 4
DFT (GGA-PBE) results for a geometry-optimized RbSbRh3 structure.

a b c (Å): 4.863 4.863 4.863
angles (deg): 90.00 90.00 90.00
Fractional positions:
Sb: 0.500 0.500 0.500
Rh: 0.000 0.500 0.000
Rh: 0.000 0.000 0.500
Rh: 0.500 0.000 0.000
Rb: 0.000 0.000 0.000

Output
Its distance to the lowest polymorph of the same formula is 7.02 eV per formula unit. For the magnetization, the calculation gives 0.22 μB per cell.



# 5
DFT (GGA-PBE) results for a geometry-optimized Sr2YAu structure.

a b c (Å): 9.326 9.326 9.326
angles (deg): 156.43 151.42 37.37
Fractional positions:
Au: 0.750 0.250 0.500
Sr: 0.911 0.911 0.000
Sr: 0.589 0.589 0.000
Y: 0.250 0.750 0.500

Output
Its distance to the lowest polymorph of the same formula is 0.40 eV per formula unit. The formation energy comes out at -1.033 eV per formula unit. For the magnetization, the calculation gives 0.00 μB per cell.



# 6
DFT (GGA-PBE) results for a geometry-optimized EuMgTlAu structure.

a b c (Å): 5.174 5.174 5.174
angles (deg): 60.00 60.00 60.00
Fractional positions:
Eu: 0.250 0.250 0.250
Tl: 0.500 0.500 0.500
Au: 0.000 0.000 0.000
Mg: 0.750 0.750 0.750

Output
The formation energy comes out at -1.786 eV per formula unit. For the magnetization, the calculation gives 7.07 μB per cell.



# 7
DFT (GGA-PBE) results for a geometry-optimized ErThCo2Si2 structure.

a b c (Å): 3.975 3.975 8.043
angles (deg): 90.00 90.00 120.00
Fractional positions:
Er: 0.000 0.000 0.500
Th: 0.000 0.000 0.000
Co: 0.667 0.333 0.245
Co: 0.333 0.667 0.755
Si: 0.667 0.333 0.735
Si: 0.333 0.667 0.265

Output
For the magnetization, the calculation gives 0.00 μB per cell. The value obtained for the calculated total energy is -41.20 eV/cell.



# 8
DFT (GGA-PBE) results for a geometry-optimized ZrZnGe2 structure.

a b c (Å): 7.176 7.176 5.855
angles (deg): 52.20 52.20 90.00
Fractional positions:
Ge: 0.592 0.125 0.250
Ge: 0.158 0.625 0.250
Ge: 0.375 0.408 0.750
Ge: 0.875 0.842 0.750
Zn: 0.500 0.500 0.000
Zn: 0.250 0.750 0.500
Zr: 0.000 0.000 0.000
Zr: 0.750 0.250 0.500

Output
The formation energy comes out at -0.348 eV per formula unit. For the magnetization, the calculation gives 0.00 μB per cell.



# 9
DFT (GGA-PBE) results for a geometry-optimized BaCd2Pb structure.

a b c (Å): 4.005 4.005 8.024
angles (deg): 90.00 90.00 90.00
Fractional positions:
Pb: 0.500 0.500 0.250
Ba: 0.500 0.500 0.750
Cd: 0.000 0.000 0.034
Cd: 0.000 0.000 0.466

Output
The formation energy comes out at -0.831 eV per formula unit. For the magnetization, the calculation gives 0.00 μB per cell.



# 10
DFT (GGA-PBE) results for a geometry-optimized Sm4Ir3Rh structure.

a b c (Å): 3.997 4.216 10.798
angles (deg): 90.00 90.00 90.00
Fractional positions:
Ir: 0.000 0.500 0.577
Ir: 0.000 0.000 0.421
Ir: 0.500 0.000 0.921
Rh: 0.500 0.500 0.082
Sm: 0.500 0.500 0.356
Sm: 0.000 0.500 0.855
Sm: 0.000 0.000 0.144
Sm: 0.500 0.000 0.646

Output
The formation energy comes out at -5.494 eV per formula unit. For the magnetization, the calculation gives 0.00 μB per cell.



# 11
DFT (GGA-PBE) results for a geometry-optimized NaLi4Hg15 structure.

a b c (Å): 4.490 4.490 22.550
angles (deg): 90.00 90.00 90.00
Fractional positions:
Na: 0.000 0.000 0.000
Li: 0.000 0.000 0.208
Li: 0.000 0.000 0.402
Li: 0.000 0.000 0.598
Li: 0.000 0.000 0.792
Hg: 0.500 0.500 0.000
Hg: 0.500 0.500 0.207
Hg: 0.500 0.500 0.402
Hg: 0.500 0.500 0.598
Hg: 0.500 0.500 0.793
Hg: 0.500 0.000 0.107
Hg: 0.500 0.000 0.304
Hg: 0.500 0.000 0.500
Hg: 0.500 0.000 0.696
Hg: 0.500 0.000 0.893
Hg: 0.000 0.500 0.107
Hg: 0.000 0.500 0.304
Hg: 0.000 0.500 0.500
Hg: 0.000 0.500 0.696
Hg: 0.000 0.500 0.893

Output
The formation energy comes out at -3.245 eV per formula unit. For the magnetization, the calculation gives 0.00 μB per cell.



# 12
DFT (GGA-PBE) results for a geometry-optimized KGe2 structure.

a b c (Å): 3.493 3.493 6.759
angles (deg): 104.98 104.98 90.00
Fractional positions:
Ge: 0.701 0.701 0.401
Ge: 0.299 0.299 0.599
K: 0.000 0.000 0.000

Output
Its distance to the lowest polymorph of the same formula is 0.00 eV per formula unit. The formation energy comes out at 0.123 eV per formula unit. For the magnetization, the calculation gives 0.00 μB per cell.



# 13
DFT (GGA-PBE) results for a geometry-optimized Zr2Be2Sb structure.

a b c (Å): 6.525 6.525 3.892
angles (deg): 90.00 90.00 90.00
Fractional positions:
Sb: 0.000 0.000 0.000
Sb: 0.500 0.500 0.000
Zr: 0.175 0.675 0.500
Zr: 0.675 0.825 0.500
Zr: 0.825 0.325 0.500
Zr: 0.325 0.175 0.500
Be: 0.387 0.887 0.000
Be: 0.887 0.613 0.000
Be: 0.613 0.113 0.000
Be: 0.113 0.387 0.000

Output
For the magnetization, the calculation gives 0.00 μB per cell. The value obtained for the calculated total energy is -61.00 eV/cell.



# 14
DFT (GGA-PBE) results for a geometry-optimized HoMgFe structure.

a b c (Å): 3.788 5.178 6.976
angles (deg): 102.48 105.76 90.00
Fractional positions:
Fe: 0.765 0.096 0.530
Fe: 0.235 0.904 0.470
Mg: 0.577 0.792 0.154
Mg: 0.423 0.208 0.846
Ho: 0.857 0.667 0.713
Ho: 0.143 0.333 0.287

Output
The formation energy comes out at 0.021 eV per formula unit. For the magnetization, the calculation gives 0.02 μB per cell.



# 15
DFT (GGA-PBE) results for a geometry-optimized Rb3PmY2S6 structure.

a b c (Å): 7.138 7.138 8.059
angles (deg): 98.49 98.49 120.00
Fractional positions:
Rb: 0.166 0.834 0.500
Rb: 0.834 0.166 0.500
Rb: 0.500 0.500 0.500
Pm: 0.000 0.000 0.000
Y: 0.333 0.667 0.000
Y: 0.667 0.333 0.000
S: 0.935 0.596 0.806
S: 0.725 0.725 0.193
S: 0.065 0.404 0.194
S: 0.596 0.935 0.806
S: 0.275 0.275 0.807
S: 0.404 0.065 0.194

Output
For the magnetization, the calculation gives 0.00 μB per cell. The value obtained for the calculated total energy is -67.54 eV/cell.



# 16
DFT (GGA-PBE) results for a geometry-optimized MnOsRh2 structure.

a b c (Å): 4.655 4.655 4.655
angles (deg): 131.81 131.81 70.52
Fractional positions:
Mn: 0.500 0.500 0.000
Os: 0.750 0.250 0.500
Rh: 0.000 0.000 0.000
Rh: 0.250 0.750 0.500

Output
Its distance to the lowest polymorph of the same formula is 0.17 eV per formula unit. The formation energy comes out at 0.086 eV per formula unit. For the magnetization, the calculation gives 2.29 μB per cell.



# 17
DFT (GGA-PBE) results for a geometry-optimized TlNi2Ir structure.

a b c (Å): 3.071 3.064 6.267
angles (deg): 90.00 90.00 90.00
Fractional positions:
Ir: 0.500 0.500 0.797
Ni: 0.000 0.000 0.011
Ni: 0.500 0.500 0.211
Tl: 0.000 0.000 0.481

Output
Its distance to the lowest polymorph of the same formula is 0.16 eV per formula unit. The formation energy comes out at 1.340 eV per formula unit. For the magnetization, the calculation gives 0.85 μB per cell.



# 18
DFT (GGA-PBE) results for a geometry-optimized TcIr2Pt structure.

a b c (Å): 6.994 6.994 5.642
angles (deg): 51.69 51.69 90.00
Fractional positions:
Ir: 0.595 0.125 0.250
Ir: 0.155 0.625 0.250
Ir: 0.375 0.405 0.750
Ir: 0.875 0.845 0.750
Tc: 0.500 0.500 0.000
Tc: 0.250 0.750 0.500
Pt: 0.000 0.000 0.000
Pt: 0.750 0.250 0.500

Output
Its distance to the lowest polymorph of the same formula is 2.57 eV per formula unit. The formation energy comes out at 2.001 eV per formula unit. For the magnetization, the calculation gives 0.00 μB per cell.



# 19
DFT (GGA-PBE) results for a geometry-optimized Pu2SbAs structure.

a b c (Å): 6.072 6.072 7.413
angles (deg): 114.18 114.18 90.00
Fractional positions:
Pu: 0.760 0.760 0.519
Pu: 0.510 0.010 0.019
Pu: 0.240 0.240 0.481
Pu: 0.990 0.490 0.981
Sb: 0.500 0.500 0.000
Sb: 0.250 0.750 0.500
As: 0.750 0.250 0.500
As: 0.000 0.000 0.000

Output
For the magnetization, the calculation gives 20.00 μB per cell. The value obtained for the calculated total energy is -80.99 eV/cell.



# 20
DFT (GGA-PBE) results for a geometry-optimized TaCr2Co structure.

a b c (Å): 3.000 3.000 5.921
angles (deg): 90.00 90.00 90.00
Fractional positions:
Co: 0.500 0.500 0.759
Cr: 0.000 0.000 0.009
Cr: 0.500 0.500 0.228
Ta: 0.000 0.000 0.504

Output
Its distance to the lowest polymorph of the same formula is 0.00 eV per formula unit. The formation energy comes out at 0.035 eV per formula unit. For the magnetization, the calculation gives 2.04 μB per cell.